## AgTe2Pt (PBEsol)

Data for a relaxed structure of AgTe2Pt.

Unit cell a=3.0154 b=3.6508 c=7.6448 alpha=90.00 beta=90.00 gamma=90.00
Sites, in units of the cell vectors:
Ag (0.0000, 0.0000, 0.0000)
Te (0.5000, 0.5000, 0.2680)
Te (0.5000, 0.5000, 0.7320)
Pt (0.0000, 0.0000, 0.5000)

Properties
For the density of states at the Fermi level, the calculation gives 2.36 states/eV/cell. Its energy relative to the elements, uncorrected is 213 meV/atom. Its symmetry is Pmmm.